Record 1
The following is a PBE calculation of a geometry-optimized Hf3CdW structure, from Alexandria via LeMat-Bulk.

The formation energy is 85 kJ per mole of atoms. As for the total magnetic moment: 0.00 μB/cell. The value obtained for the energy above the most stable polymorph in this dataset is 0.0 meV per atom.

The structure belongs to space group Pm-3m (No. 221); the cell edges are 5.0778, 5.0778 and 5.0778 Å and the angles 90.00°, 90.00° and 90.00°. The distinct sites, in fractional coordinates, are Hf at (0.0000, 0.0000, 0.5000), Cd at (0.5000, 0.5000, 0.5000) and W at (0.0000, 0.0000, 0.0000).

***

Record 2
The following is a PBE calculation of a geometry-optimized CuSi2Hg structure, from Alexandria via LeMat-Bulk.

As for the total magnetic moment: 0.00 μB/cell. The uncorrected formation energy is 0.36 eV per atom.

The structure belongs to space group Pmmm (No. 47); the cell edges are 2.6628, 3.6873 and 7.6615 Å and the angles 90.00°, 90.00° and 90.00°. The distinct sites, in fractional coordinates, are Cu at (0.0000, 0.0000, 0.0000), Si at (0.5000, 0.5000, 0.1644) and Hg at (0.0000, 0.0000, 0.5000).

***

Record 3
The following is a PBE calculation of a geometry-optimized LuScAlTl structure, from Alexandria via LeMat-Bulk.

The formation energy is -27 kJ per mole of atoms. As for the total magnetic moment: 0.00 μB/cell.

The structure belongs to space group F-43m (No. 216); the cell edges are 7.1605, 7.1605 and 7.1605 Å and the angles 90.00°, 90.00° and 90.00°. The distinct sites, in fractional coordinates, are Lu at (0.0000, 0.0000, 0.0000), Sc at (0.0000, 0.0000, 0.5000), Al at (0.2500, 0.2500, 0.7500) and Tl at (0.2500, 0.2500, 0.2500).

***

Record 4
The following is a PBE calculation of a geometry-optimized LiHfZrIn2 structure, from Alexandria via LeMat-Bulk.

The formation energy is 97 kJ per mole of atoms. As for the total magnetic moment: 0.88 μB/cell.

The structure belongs to space group P4/mmm (No. 123); the cell edges are 5.3321, 5.3321 and 4.7586 Å and the angles 90.00°, 90.00° and 90.00°. The distinct sites, in fractional coordinates, are Li at (0.0000, 0.0000, 0.0000), Hf at (0.0000, 0.0000, 0.5000), Zr at (0.5000, 0.5000, 0.0000) and In at (0.0000, 0.5000, 0.5000).

***

Record 5
The following is a PBE calculation of a geometry-optimized RhPbN2O structure, from Alexandria via LeMat-Bulk.

As for the total magnetic moment: 1.30 μB/cell. The uncorrected formation energy is 1.95 eV per atom.

The structure belongs to space group P4/mmm (No. 123); the cell edges are 4.3382, 4.3382 and 4.2851 Å and the angles 90.00°, 90.00° and 90.00°. The distinct sites, in fractional coordinates, are Rh at (0.0000, 0.0000, 0.0000), Pb at (0.5000, 0.5000, 0.5000), N at (0.0000, 0.5000, 0.5000) and O at (0.5000, 0.5000, 0.0000).